P:
Ho6TmSc4: relaxed, PBE.

POSCAR file:
```
Ho6TmSc4
1.0
-1.398 1.334 -2.812
1.288 -9.149 -4.980
-8.860 1.887 5.301
Ho Sc Tm
6 4 1
Direct
0.000 0.524 0.048 Ho
0.500 0.183 0.817 Ho
0.000 0.524 0.476 Ho
0.000 0.952 0.476 Ho
0.500 0.634 0.817 Ho
0.500 0.183 0.366 Ho
0.500 0.842 0.684 Sc
0.500 0.842 0.158 Sc
0.500 0.316 0.158 Sc
0.000 0.333 0.667 Sc
0.000 0.000 0.000 Tm
```

Output
- crystal system = hexagonal



Q:
Ho6TmSc4: relaxed, PBE.

POSCAR file:
```
Ho6TmSc4
1.0
-1.778 3.884 4.678
-4.996 -3.712 1.183
7.882 -4.440 2.392
Ho Tm Sc
6 1 4
Direct
0.867 0.490 0.356 Ho
0.500 0.000 0.000 Ho
0.490 0.867 0.356 Ho
0.133 0.133 0.644 Ho
0.000 0.500 0.000 Ho
0.510 0.510 0.644 Ho
0.500 0.500 0.000 Tm
0.300 0.300 0.252 Sc
0.951 0.951 0.252 Sc
0.700 0.049 0.748 Sc
0.049 0.700 0.748 Sc
```

Output
- crystal system = tetragonal



Result of the stability comparison: Q is the least stable of them.



P:
HoTmSc4: relaxed, PBE.

POSCAR file:
```
HoTmSc4
1.0
3.365 0.000 0.000
-1.682 8.708 0.000
0.000 0.000 10.798
Ho Sc Tm
2 8 2
Direct
0.663 0.327 0.764 Ho
0.337 0.673 0.264 Ho
0.003 0.006 0.269 Sc
0.448 0.896 0.520 Sc
0.997 0.994 0.769 Sc
0.552 0.104 0.020 Sc
0.108 0.215 0.515 Sc
0.663 0.327 0.273 Sc
0.337 0.673 0.773 Sc
0.892 0.785 0.015 Sc
0.780 0.559 0.520 Tm
0.220 0.441 0.020 Tm
```

Output
- crystal system = orthorhombic



Q:
HoTmSc4: relaxed, PBE.

POSCAR file:
```
HoTmSc4
1.0
-7.091 4.372 -1.230
1.334 -4.724 -1.912
-0.866 -3.840 8.882
Sc Tm Ho
8 2 2
Direct
0.793 0.044 0.583 Sc
0.542 0.292 0.083 Sc
0.207 0.956 0.417 Sc
0.959 0.209 0.917 Sc
0.710 0.461 0.417 Sc
0.458 0.708 0.917 Sc
0.290 0.539 0.583 Sc
0.041 0.791 0.083 Sc
0.875 0.125 0.249 Tm
0.125 0.875 0.751 Tm
0.375 0.625 0.251 Ho
0.625 0.375 0.749 Ho
```

Output
- crystal system = monoclinic



Result of the stability comparison: Q is the least stable of them.



P:
HoTm8Sc2: relaxed, PBE.

POSCAR file:
```
HoTm8Sc2
1.0
5.617 -0.683 -1.025
-1.887 8.990 -1.162
-1.887 -4.535 7.849
Sc Ho Tm
2 1 8
Direct
0.000 0.312 0.688 Sc
0.000 0.688 0.312 Sc
0.500 0.000 0.000 Ho
0.206 0.096 0.354 Tm
0.206 0.354 0.096 Tm
0.277 0.540 0.540 Tm
0.723 0.460 0.460 Tm
0.794 0.904 0.646 Tm
0.794 0.646 0.904 Tm
0.500 0.204 0.796 Tm
0.500 0.796 0.204 Tm
```

Output
- crystal system = monoclinic



Q:
HoTm8Sc2: relaxed, PBE.

POSCAR file:
```
HoTm8Sc2
1.0
5.047 0.000 -1.533
-0.987 7.306 -3.249
-0.008 -0.418 9.050
Tm Ho Sc
8 1 2
Direct
0.643 0.849 0.286 Tm
0.643 0.437 0.286 Tm
0.000 0.701 0.000 Tm
0.000 0.299 0.000 Tm
0.357 0.151 0.714 Tm
0.838 0.838 0.676 Tm
0.357 0.563 0.714 Tm
0.162 0.162 0.324 Tm
0.500 0.000 0.000 Ho
0.798 0.298 0.597 Sc
0.202 0.702 0.403 Sc
```

Output
- crystal system = orthorhombic



Result of the stability comparison: P is the least stable of them.



P:
Ho5Tm2Sc2: relaxed, PBE.

POSCAR file:
```
Ho5Tm2Sc2
1.0
8.222 0.000 0.000
0.000 6.868 0.000
-4.111 -3.434 9.604
Tm Sc Ho
4 4 10
Direct
0.000 0.010 0.000 Tm
0.805 0.789 0.500 Tm
0.500 0.510 0.000 Tm
0.195 0.289 0.500 Tm
0.590 0.998 0.917 Sc
0.410 0.081 0.083 Sc
0.173 0.581 0.083 Sc
0.827 0.498 0.917 Sc
0.586 0.628 0.671 Ho
0.881 0.400 0.219 Ho
0.838 0.900 0.219 Ho
0.584 0.128 0.671 Ho
0.416 0.457 0.329 Ho
0.203 0.793 0.500 Ho
0.119 0.181 0.781 Ho
0.797 0.293 0.500 Ho
0.414 0.957 0.329 Ho
0.162 0.681 0.781 Ho
```

Output
- crystal system = orthorhombic



Q:
Ho5Tm2Sc2: relaxed, PBE.

POSCAR file:
```
Ho5Tm2Sc2
1.0
-2.192 0.252 -4.346
-7.960 -4.415 1.026
-6.936 3.274 0.956
Tm Ho Sc
2 5 2
Direct
0.108 0.336 0.448 Tm
0.892 0.664 0.552 Tm
0.779 0.335 0.107 Ho
0.334 0.001 0.330 Ho
0.666 0.999 0.670 Ho
0.221 0.665 0.893 Ho
0.000 0.000 0.000 Ho
0.555 0.662 0.228 Sc
0.445 0.338 0.772 Sc
```

Output
- crystal system = monoclinic



Result of the stability comparison: P is the least stable of them.



P:
Ho2Tm8Sc3: relaxed, PBE.

POSCAR file:
```
Ho2Tm8Sc3
1.0
6.454 0.000 0.652
0.000 8.651 0.000
-1.767 -4.326 6.976
Tm Sc Ho
8 3 2
Direct
0.427 0.792 0.219 Tm
0.573 0.573 0.781 Tm
0.117 0.413 0.826 Tm
0.883 0.587 0.174 Tm
0.427 0.427 0.219 Tm
0.215 0.804 0.609 Tm
0.785 0.196 0.391 Tm
0.573 0.208 0.781 Tm
0.000 0.835 0.000 Sc
0.500 0.000 0.000 Sc
0.000 0.165 0.000 Sc
0.719 0.799 0.598 Ho
0.281 0.201 0.402 Ho
```

Output
- crystal system = monoclinic



Q:
Ho2Tm8Sc3: relaxed, PBE.

POSCAR file:
```
Ho2Tm8Sc3
1.0
5.489 0.548 0.519
-0.943 5.497 2.581
-2.810 -3.011 10.774
Tm Ho Sc
8 2 3
Direct
0.640 0.760 0.198 Tm
0.360 0.240 0.802 Tm
0.812 0.104 0.670 Tm
0.188 0.896 0.330 Tm
0.696 0.216 0.348 Tm
0.304 0.784 0.652 Tm
0.883 0.555 0.838 Tm
0.117 0.445 0.162 Tm
0.247 0.338 0.493 Ho
0.753 0.662 0.507 Ho
0.566 0.262 0.061 Sc
0.434 0.738 0.939 Sc
0.000 0.000 0.000 Sc
```

Output
- crystal system = triclinic



Result of the stability comparison: P is the least stable of them.



P:
Ho3Tm4Sc: relaxed, PBE.

POSCAR file:
```
Ho3Tm4Sc
1.0
6.136 0.000 0.000
0.000 7.105 0.000
0.000 0.000 10.994
Tm Ho Sc
8 6 2
Direct
0.483 0.874 0.253 Tm
0.150 0.875 0.000 Tm
0.646 0.126 0.000 Tm
0.983 0.126 0.247 Tm
0.650 0.125 0.500 Tm
0.983 0.126 0.753 Tm
0.483 0.874 0.747 Tm
0.146 0.874 0.500 Tm
0.479 0.376 0.750 Ho
0.979 0.624 0.750 Ho
0.479 0.376 0.250 Ho
0.979 0.624 0.250 Ho
0.147 0.375 0.500 Ho
0.647 0.625 0.000 Ho
0.147 0.375 0.000 Sc
0.647 0.625 0.500 Sc
```

Output
- crystal system = orthorhombic



Q:
Ho3Tm4Sc: relaxed, PBE.

POSCAR file:
```
Ho3Tm4Sc
1.0
7.742 0.000 -4.060
-2.129 7.444 -4.060
-0.363 -0.481 8.720
Tm Ho Sc
8 6 2
Direct
0.686 0.488 0.674 Tm
0.488 0.988 0.674 Tm
0.814 0.314 0.326 Tm
0.988 0.186 0.674 Tm
0.512 0.012 0.326 Tm
0.314 0.512 0.326 Tm
0.186 0.686 0.674 Tm
0.012 0.814 0.326 Tm
0.250 0.250 0.500 Ho
0.354 0.146 0.000 Ho
0.750 0.750 0.500 Ho
0.646 0.854 0.000 Ho
0.146 0.646 0.000 Ho
0.854 0.354 0.000 Ho
0.000 0.000 0.000 Sc
0.500 0.500 0.000 Sc
```

Output
- crystal system = tetragonal



Result of the stability comparison: Q is the least stable of them.